## i
The following is a GGA-PBEsol calculation of an optimized crystal structure of Mg2HgTe, from Alexandria via LeMat-Bulk.

a = 4.058 Å, b = 4.058 Å, c = 6.011 Å
α = 90.00°, β = 90.00°, γ = 90.00°
Sites, in units of the cell vectors:
Mg1 0.500 0.500 0.335
Mg2 0.000 0.000 0.908
Te1 0.000 0.000 0.405
Hg1 0.500 0.500 0.853

Computed properties:
Theoretical density, g/cm3: 6.32
Calculated volume, Å³/f.u.: 99.0

## ii
The following is a GGA-PBEsol calculation of an optimized crystal structure of Mg2HgTe, from Alexandria via LeMat-Bulk.

a = 4.246 Å, b = 4.246 Å, c = 6.816 Å
α = 71.85°, β = 71.85°, γ = 60.00°
Sites, in units of the cell vectors:
Hg1 0.000 0.000 0.000
Mg1 0.744 0.744 0.767
Mg2 0.256 0.256 0.233
Te1 0.500 0.500 0.500

Computed properties:
Theoretical density, g/cm3: 6.30
Calculated volume, Å³/f.u.: 99.3

Which one is most stable, and which one is least stable? ii is the most stable of them, while i is the least stable.

## i
The following is a GGA-PBEsol calculation of an optimized crystal structure of Mg2HgW, from Alexandria via LeMat-Bulk.

a = 2.912 Å, b = 4.264 Å, c = 5.861 Å
α = 90.00°, β = 90.00°, γ = 90.00°
Sites, in units of the cell vectors:
Mg1 0.500 0.500 0.265
Mg2 0.000 0.000 0.997
Hg1 0.500 0.500 0.745
W1 0.000 0.000 0.492

Computed properties:
Theoretical density, g/cm3: 9.88
Calculated volume, Å³/f.u.: 72.8

## ii
The following is a GGA-PBEsol calculation of an optimized crystal structure of Mg2HgW, from Alexandria via LeMat-Bulk.

a = 2.837 Å, b = 4.858 Å, c = 5.317 Å
α = 90.00°, β = 89.96°, γ = 90.00°
Sites, in units of the cell vectors:
Hg1 0.375 0.500 0.765
Mg1 0.876 0.500 0.294
Mg2 0.875 0.000 0.971
W1 0.375 0.000 0.470

Computed properties:
Theoretical density, g/cm3: 9.81
Calculated volume, Å³/f.u.: 73.3

Which one is most stable, and which one is least stable? ii is the most stable of them, while i is the least stable.

## i
The following is a GGA-PBEsol calculation of an optimized crystal structure of MgHgW2, from Alexandria via LeMat-Bulk.

a = 2.749 Å, b = 4.257 Å, c = 5.915 Å
α = 90.00°, β = 90.00°, γ = 90.00°
Sites, in units of the cell vectors:
Hg1 0.000 0.000 0.515
Mg1 0.500 0.500 0.744
W1 0.500 0.500 0.220
W2 0.000 0.000 0.021

Computed properties:
Theoretical density, g/cm3: 14.22
Calculated volume, Å³/f.u.: 69.2

## ii
The following is a GGA-PBEsol calculation of an optimized crystal structure of MgHgW2, from Alexandria via LeMat-Bulk.

a = 3.524 Å, b = 3.524 Å, c = 5.491 Å
α = 90.00°, β = 90.00°, γ = 90.00°
Sites, in units of the cell vectors:
W1 0.000 0.000 0.273
W2 0.000 0.000 0.727
Hg1 0.500 0.500 0.000
Mg1 0.500 0.500 0.500

Computed properties:
Theoretical density, g/cm3: 14.43
Calculated volume, Å³/f.u.: 68.2

Which one is most stable, and which one is least stable? i is the most stable of them, while ii is the least stable.

## i
The following is a GGA-PBEsol calculation of an optimized crystal structure of MgHgW2, from Alexandria via LeMat-Bulk.

a = 2.759 Å, b = 4.774 Å, c = 5.283 Å
α = 90.00°, β = 101.97°, γ = 90.00°
Sites, in units of the cell vectors:
W1 0.723 0.000 0.739
W2 0.277 0.000 0.261
Hg1 0.500 0.500 0.000
Mg1 0.000 0.500 0.500

Computed properties:
Theoretical density, g/cm3: 14.46
Calculated volume, Å³/f.u.: 68.1

## ii
The following is a GGA-PBEsol calculation of an optimized crystal structure of MgHgW2, from Alexandria via LeMat-Bulk.

a = 4.565 Å, b = 4.575 Å, c = 4.565 Å
α = 60.08°, β = 90.00°, γ = 119.92°
Sites, in units of the cell vectors:
Mg1 0.750 0.500 0.750
W1 0.250 0.500 0.250
W2 0.000 0.000 0.000
Hg1 0.500 0.000 0.500

Computed properties:
Theoretical density, g/cm3: 14.57
Calculated volume, Å³/f.u.: 67.6

## iii
The following is a GGA-PBEsol calculation of an optimized crystal structure of MgHgW2, from Alexandria via LeMat-Bulk.

a = 2.792 Å, b = 4.945 Å, c = 4.945 Å
α = 90.00°, β = 90.00°, γ = 90.00°
Sites, in units of the cell vectors:
Mg1 0.500 0.000 0.000
W1 0.000 0.500 0.000
W2 0.000 0.000 0.500
Hg1 0.500 0.500 0.500

Computed properties:
Theoretical density, g/cm3: 14.41
Calculated volume, Å³/f.u.: 68.3

Which one is most stable, and which one is least stable? i is the most stable of them, while iii is the least stable.